The following is a DFT calculation (PBE) of an optimized crystal structure of ZrAg2Pb2.

formation enthalpy at 0 K: 0.193 eV/atom
calculated volume: 24.3 Å³ per atom
VASP energy: -4.140 eV per atom
distance to the lowest polymorph of the same formula: 0.047 eV per atom

Cell lengths 8.4965, 8.4965, 8.4965 Å; angles 153.54, 153.54, 37.77 degrees
Last column: nearest neighbours and their distance in Å.
Atoms (fractional coordinates):
Zr 0.0000 0.0000 0.0000  8 Pb 3.19
Ag 0.2500 0.7500 0.5000  4 Ag 2.75
Ag 0.7500 0.2500 0.5000  4 Ag 2.75
Pb 0.3996 0.3996 0.0000  4 Ag 3.09, 4 Zr 3.19, 1 Pb 3.23
Pb 0.6004 0.6004 0.0000  4 Ag 3.09, 4 Zr 3.19, 1 Pb 3.23